Entry 1:
Density functional theory data (PBE) for crystalline ScIn2Au6 at its relaxed geometry.

abc: 4.990 8.618 8.618
angles: 75.64 81.74 81.74
Fractional positions:
Sc (0.250, 0.132, 0.868)
Sc (0.750, 0.868, 0.132)
In (0.417, 0.534, 0.798)
In (0.083, 0.202, 0.466)
In (0.583, 0.466, 0.202)
In (0.917, 0.798, 0.534)
Au (0.473, 0.684, 0.429)
Au (0.027, 0.571, 0.316)
Au (0.527, 0.316, 0.571)
Au (0.973, 0.429, 0.684)
Au (0.644, 0.094, 0.348)
Au (0.856, 0.652, 0.906)
Au (0.356, 0.906, 0.652)
Au (0.144, 0.348, 0.094)
Au (0.300, 0.785, 0.002)
Au (0.200, 0.998, 0.215)
Au (0.700, 0.215, 0.998)
Au (0.800, 0.002, 0.785)

Results
The space group is No. 15. For the total magnetization, the calculation gives 0.0 μB per formula unit. The formation energy comes out at -2.94 eV/f.u.

=====

Entry 2:
Density functional theory data (PBE) for crystalline ScInAu at its relaxed geometry.

abc: 4.763 4.763 8.200
angles: 73.12 73.12 60.00
Fractional positions:
Au (0.162, 0.162, 0.514)
Au (0.923, 0.923, 0.230)
In (0.668, 0.668, 0.995)
In (0.514, 0.514, 0.457)
Sc (0.283, 0.283, 0.152)
Sc (0.046, 0.046, 0.861)

Results
The space group is No. 160. For the total magnetization, the calculation gives 0.0 μB per formula unit. The formation energy comes out at -0.71 eV/f.u.

=====

Entry 3:
Density functional theory data (PBE) for crystalline Sc4InAu at its relaxed geometry.

abc: 5.763 5.763 5.763
angles: 60.00 60.00 60.00
Fractional positions:
Sc (0.876, 0.375, 0.375)
Sc (0.375, 0.375, 0.876)
Sc (0.375, 0.876, 0.375)
Sc (0.375, 0.375, 0.375)
In (0.000, 0.000, 0.000)
Au (0.750, 0.750, 0.750)

Results
Its energy relative to the lowest polymorph listed for this composition is 1.92 eV per formula unit. The space group is No. 216. For the total magnetization, the calculation gives 0.0 μB per formula unit. The formation energy comes out at 0.51 eV/f.u.

=====

Entry 4:
Density functional theory data (PBE) for crystalline ScInAu3 at its relaxed geometry.

abc: 3.563 4.661 12.078
angles: 90.01 81.69 90.02
Fractional positions:
Sc (0.010, 0.634, 0.989)
Sc (0.898, 0.134, 0.216)
In (0.805, 0.634, 0.400)
In (0.685, 0.135, 0.635)
Au (0.603, 0.634, 0.799)
Au (0.488, 0.134, 0.031)
Au (0.417, 0.634, 0.180)
Au (0.303, 0.134, 0.407)
Au (0.083, 0.134, 0.839)
Au (0.205, 0.635, 0.596)

Results
Its energy relative to the lowest polymorph listed for this composition is 0.00 eV per formula unit. The space group is No. 1. For the total magnetization, the calculation gives 0.0 μB per formula unit. The formation energy comes out at -2.32 eV/f.u.